Entry 1:
Below is a geometry-optimized Ce3Nb12Si5 structure, with properties calculated at the PBE level.

Calculated values
V, Å³ per atom: 22.498
Uncorrected formation energy, meV per atom: 757

a b c (Å): 15.3258 15.3258 15.3258
angles (deg): 90.00 90.00 90.00
Last column: nearest neighbours and their distance in Å.
Space group Ia-3d (No. 230)
Inequivalent atoms, fractional coordinates:
Ce 0.0000 0.2500 0.1250  4 Nb 2.71
Nb 0.0448 0.0792 0.6360  2 Si 2.46-2.51, 1 Ce 2.71
Si 0.0000 0.0000 0.0000  6 Nb 2.51
Si 0.0000 0.2500 0.3750  4 Nb 2.46

---

Entry 2:
Below is a geometry-optimized Ce2NbSi structure, with properties calculated at the PBE level.

Calculated values
V, Å³ per atom: 20.765
Uncorrected formation energy, meV per atom: -220

a b c (Å): 4.2280 4.2280 4.6465
angles (deg): 90.00 90.00 90.00
Last column: nearest neighbours and their distance in Å.
Space group P4/mmm (No. 123)
Inequivalent atoms, fractional coordinates:
Ce 0.0000 0.5000 0.0000  4 Ce 2.99, 4 Si 3.14, 4 Nb 3.14
Nb 0.0000 0.0000 0.5000  4 Si 2.99, 8 Ce 3.14
Si 0.5000 0.5000 0.5000  4 Nb 2.99, 8 Ce 3.14

---

Entry 3:
Below is a geometry-optimized Ce3NbSi6 structure, with properties calculated at the PBE level.

Calculated values
V, Å³ per atom: 19.706
Uncorrected formation energy, meV per atom: -573

a b c (Å): 11.0646 11.0646 11.1519
angles (deg): 90.00 90.00 120.00
Last column: nearest neighbours and their distance in Å.
Space group R-3c (No. 167, hexagonal axes)
Inequivalent atoms, fractional coordinates:
Ce 0.0000 0.4352 0.2500  10 Si 2.94-3.28
Nb 0.0000 0.0000 0.0000  6 Si 2.73
Si 0.0692 0.2110 0.3393  2 Si 2.39-2.48

---

Question: Which of these has the highest uncorrected formation energy?
Answer: Ce3Nb12Si5

---

Question: The highest uncorrected formation energy belongs to which entry?
Answer: Ce3Nb12Si5

---

Question: Among the records above, which one has the highest V?
Answer: Ce3Nb12Si5

---

Question: Which value of uncorrected formation energy does entry 3 give?
Answer: -573 meV per atom